# 1
The following is a PBE calculation of crystalline Dy2Ga4Co3Ni at its relaxed geometry, from the Alexandria database.

Space-group type: P-4m2
Theoretical density, g/cm³: 8.61
Fermi-level density of states, states/eV per atom: 0.67
Total DFT energy (no corrections), eV per cell: -52.84

Unit cell a=4.0420 b=4.0420 c=9.9116 alpha=90.00 beta=90.00 gamma=90.00
Closest atoms and distances in Å follow each position.
Fractional coordinates of all 10 atoms:
Dy 0.0000 0.5000 0.2461  8 Ga 3.09-3.23, 6 Co 3.09-3.17, 2 Ni 3.17
Dy 0.5000 0.0000 0.7539  8 Ga 3.09-3.23, 6 Co 3.09-3.17, 2 Ni 3.17
Ga 0.0000 0.0000 0.5000  4 Co 2.42
Ga 0.0000 0.5000 0.8724  3 Co 2.36-2.38, 2 Ni 2.38
Ga 0.5000 0.0000 0.1276  3 Co 2.36-2.38, 2 Ni 2.38
Ga 0.5000 0.5000 0.5000  4 Co 2.42
Co 0.0000 0.0000 0.0000  4 Ga 2.38
Co 0.0000 0.5000 0.6347  5 Ga 2.36-2.42
Co 0.5000 0.0000 0.3653  5 Ga 2.36-2.42
Ni 0.5000 0.5000 0.0000  4 Ga 2.38

# 2
The following is a PBE calculation of crystalline Dy2Ga3CoNi4 at its relaxed geometry, from the Alexandria database.

Space-group type: P-4m2
Theoretical density, g/cm³: 8.68
Fermi-level density of states, states/eV per atom: 0.88
Total DFT energy (no corrections), eV per cell: -53.18

Unit cell a=3.8892 b=3.8892 c=10.4668 alpha=90.00 beta=90.00 gamma=90.00
Closest atoms and distances in Å follow each position.
Fractional coordinates of all 10 atoms:
Dy 0.0000 0.5000 0.2381  4 Ni 2.95, 6 Ga 3.06-3.16, 2 Co 3.16
Dy 0.5000 0.0000 0.7619  4 Ni 2.95, 6 Ga 3.06-3.16, 2 Co 3.16
Ga 0.0000 0.0000 0.0000  4 Ni 2.41
Ga 0.0000 0.5000 0.6345  5 Ni 2.40
Ga 0.5000 0.0000 0.3655  5 Ni 2.40
Co 0.5000 0.5000 0.0000  4 Ni 2.41
Ni 0.0000 0.0000 0.5000  4 Ga 2.40
Ni 0.0000 0.5000 0.8641  3 Ga 2.40-2.41, 2 Co 2.41
Ni 0.5000 0.0000 0.1359  3 Ga 2.40-2.41, 2 Co 2.41
Ni 0.5000 0.5000 0.5000  4 Ga 2.40